## Rb2HfVF6 (PBE with a Hubbard U)

Data for an optimized crystal structure of Rb2HfVF6.

Cell lengths 5.901, 5.901, 13.178 Å; angles 90.00, 90.00, 90.00 degrees
Space group I4/mmm (No. 139)
Symmetry-distinct sites (fractional):
Rb: 0.000 0.500 0.250
Hf: 0.000 0.000 0.000
V: 0.000 0.000 0.500
F: 0.000 0.000 0.153
F: 0.242 0.242 0.000

Computed properties:
- DOS at the Fermi energy (states/eV/atom) = 0.1841
- mass density (Mg/m³) = 3.72
- V (Å³/atom) = 22.94
- magnetic moment (Bohr magnetons per cell) = 6.62
- total DFT energy (no corrections) (eV/atom) = -5.77